1.
# YMg2Ni

An optimized crystal structure of YMg2Ni (PBE-GGA, Alexandria).

As for the calculated volume: 20.182 Å³/atom. The crystal system is tetragonal. For the final energy, the calculation gives -31.530 eV/cell.

The space group is I-4m2 (No. 119) and the conventional cell measures 4.859, 4.859 and 6.838 Å, with angles of 90.00, 90.00 and 90.00 degrees. Symmetry generates all atoms from Y at (0.000, 0.000, 0.000), Mg at (0.000, 0.000, 0.500), Mg at (0.000, 0.500, 0.250) and Ni at (0.000, 0.500, 0.750).

---

2.
# YMg11Ni

An optimized crystal structure of YMg11Ni (PBE-GGA, Alexandria).

As for the calculated volume: 22.046 Å³/atom. The crystal system is monoclinic. For the final energy, the calculation gives -60.628 eV/cell.

The space group is C2/m (No. 12) and the conventional cell measures 5.612, 14.349 and 7.597 Å, with angles of 90.00, 110.46 and 90.00 degrees. Symmetry generates all atoms from Y at (0.000, 0.000, 0.000), Mg at (0.000, 0.000, 0.500), Mg at (0.094, 0.399, 0.219), Mg at (0.191, 0.167, 0.361), Mg at (0.250, 0.250, 0.000) and Ni at (0.000, 0.500, 0.500).

---

no.,ΔE_f (meV per atom)
1,-83
2,-41